Compound: PaMn4Cu3O12
Source: the Alexandria database
Functional: PBE with a Hubbard U
Structure: optimized geometry

Cell and atoms, written as extended XYZ:
```
20
Lattice="-4.085 3.101 -3.929 -2.788 -0.856 5.765 5.382 3.502 0.710" Properties=species:S:1:pos:R:3 pbc="T T T"
O 0.817 2.374 0.156
O -1.085 4.596 0.346
O -2.166 3.493 -2.351
O -2.308 3.374 2.390
Cu 0.649 3.302 -1.610
O -0.406 1.152 2.199
Mn -0.746 2.874 1.273
O 3.158 3.040 1.790
Mn -2.042 1.551 -1.964
Cu -3.437 1.123 0.918
Cu 1.297 1.323 3.237
Mn -1.394 -0.428 2.882
O -1.786 1.772 -0.009
Pa 0.000 0.000 0.000
O 1.358 5.125 -1.185
O -4.649 2.707 0.756
Mn 2.691 1.751 0.355
O 0.675 2.254 4.896
O 0.294 3.976 2.555
O -2.849 0.623 3.731
```

Output
As for the total magnetization: 11.91 μB/cell. The crystal system is cubic. The calculation puts the total energy at -142.0 eV per cell.